This record from Alexandria describes CdHg2Se at its PBEsol-relaxed geometry. The functional is meta-GGA SCAN.

## Properties
D(E_F): 1.32 states/eV/f.u.
ΔE_f (raw): -0.112 eV/atom
Total magnetic moment: 0.000 μB per formula unit

```
data_CdHg2Se
_chemical_formula_sum 'Cd1 Hg2 Se1'
_cell_length_a 4.054
_cell_length_b 4.054
_cell_length_c 5.859
_cell_angle_alpha 90.00
_cell_angle_beta 90.00
_cell_angle_gamma 90.00
_space_group_name_H-M_alt 'P 4/m m m'
_space_group_IT_number 123
_space_group_name_Hall '-P 4 2'
loop_
_atom_site_label
_atom_site_type_symbol
_atom_site_fract_x
_atom_site_fract_y
_atom_site_fract_z
_atom_site_occupancy
Cd1 Cd 0.000 0.000 0.000 1
Hg1 Hg 0.000 0.000 0.500 1
Hg2 Hg 0.500 0.500 0.500 1
Se1 Se 0.500 0.500 0.000 1
```

This record from Alexandria describes TlCd2In2 at its PBEsol-relaxed geometry. The functional is meta-GGA SCAN.

## Properties
Energy relative to the elements: 0.05 eV/atom
D(E_F): 2.01 states/eV/f.u.
Energy relative to the lowest polymorph listed for this composition: 0.0 meV/atom
Total magnetic moment: 0.000 μB per formula unit

```
data_TlCd2In2
_chemical_formula_sum 'Tl2 Cd4 In4'
_cell_length_a 4.389
_cell_length_b 4.389
_cell_length_c 13.317
_cell_angle_alpha 90.00
_cell_angle_beta 90.00
_cell_angle_gamma 90.00
_space_group_name_H-M_alt 'I 4/m m m'
_space_group_IT_number 139
_space_group_name_Hall '-I 4 2'
loop_
_atom_site_label
_atom_site_type_symbol
_atom_site_fract_x
_atom_site_fract_y
_atom_site_fract_z
_atom_site_occupancy
Tl1 Tl 0.000 0.000 0.000 1
Cd1 Cd 0.000 0.500 0.250 1
In1 In 0.000 0.000 0.394 1
```